A plane-wave DFT calculation with PBE was carried out for a relaxed structure of KZrC2O.

D(E_F) in states/eV/cell: 2.7
Magnetic moment in μB per atom: 0.10
Raw formation energy in eV/atom: 3.319

a = 3.811 Å, b = 3.811 Å, c = 6.086 Å
α = 90.00°, β = 90.00°, γ = 90.00°
Sites, in units of the cell vectors:
K  0.000  0.000  0.000
Zr  0.000  0.000  0.500
C  0.000  0.500  0.000
C  0.500  0.000  0.000
O  0.500  0.500  0.500